(1)
Dy3Ho3Pd2, relaxed, DFT PBE; total magnetic moment = 0.0 μB/cell; symmetry = Cmcm (63); density = 8.9 Mg/m³; ΔE_f = -0.377 eV/atom
1.0
1.880 -6.532 0.000
1.880 6.532 0.000
0.000 0.000 18.098
Dy Ho Pd
6 6 4
Cartesian
1.880 5.846 10.733
1.880 5.846 16.414
1.880 2.409 13.573
1.880 -2.409 4.524
1.880 -5.846 1.684
1.880 -5.846 7.365
1.880 2.145 9.965
1.880 2.145 17.182
1.880 1.081 4.524
1.880 -1.081 13.573
1.880 -2.145 0.916
1.880 -2.145 8.133
1.880 2.936 2.431
1.880 2.936 6.618
1.880 -2.936 11.479
1.880 -2.936 15.667

(2)
DyHoPd, relaxed, DFT PBE; excess energy over the best structure of this formula in the dataset = 16.9 kJ/mol of atoms; total magnetic moment = 0.0 μB/cell; symmetry = P3m1 (156); density = 9.7 Mg/m³; ΔE_f = -0.406 eV/atom
1.0
4.781 0.000 0.000
-2.391 4.141 0.000
0.000 0.000 3.757
Dy Ho Pd
1 1 1
Cartesian
0.000 0.000 0.000
0.000 2.760 2.017
2.391 1.380 1.041

Which value of density does entry 1 give?
8.9 Mg/m³

Please write out number 2 again, unchanged.
DyHoPd, relaxed, DFT PBE; excess energy over the best structure of this formula in the dataset = 16.9 kJ/mol of atoms; total magnetic moment = 0.0 μB/cell; symmetry = P3m1 (156); density = 9.7 Mg/m³; ΔE_f = -0.406 eV/atom
1.0
4.781 0.000 0.000
-2.391 4.141 0.000
0.000 0.000 3.757
Dy Ho Pd
1 1 1
Cartesian
0.000 0.000 0.000
0.000 2.760 2.017
2.391 1.380 1.041

Number 1 is which compound?
Dy3Ho3Pd2